First-principles (meta-GGA SCAN) data for a PBEsol-optimized structure of P2Pb3, as listed in Alexandria.

Unit cell a=9.0821 b=9.0821 c=9.0821 alpha=26.40 beta=26.40 gamma=26.40
With the nearest neighbours (Å) after each atom.
Sites, in units of the cell vectors:
P: 0.1014 0.1014 0.1014  6 Pb 2.77-2.95
P: 0.8986 0.8986 0.8986  6 Pb 2.77-2.95
Pb: 0.2847 0.2847 0.2847  3 P 2.77
Pb: 0.5000 0.5000 0.5000  6 P 2.95
Pb: 0.7153 0.7153 0.7153  3 P 2.77

Computed properties:
The crystal system is trigonal.


First-principles (meta-GGA SCAN) data for a PBEsol-optimized structure of P2Pb, as listed in Alexandria.

Unit cell a=8.3446 b=8.3446 c=4.9055 alpha=90.00 beta=90.00 gamma=157.31
With the nearest neighbours (Å) after each atom.
Sites, in units of the cell vectors:
P: 0.0086 0.9914 0.7500  4 P 2.21-2.47
P: 0.4008 0.5992 0.2500  2 P 2.21
P: 0.5992 0.4008 0.7500  2 P 2.21
P: 0.9914 0.0086 0.2500  4 P 2.21-2.47
Pb: 0.3158 0.6842 0.7500  2 P 2.82
Pb: 0.6842 0.3158 0.2500  2 P 2.82

Computed properties:
The crystal system is orthorhombic. Its distance to the lowest polymorph of the same formula is 0.014 eV per atom.


First-principles (meta-GGA SCAN) data for a PBEsol-optimized structure of P3PdPb, as listed in Alexandria.

Unit cell a=4.7007 b=4.7007 c=4.7007 alpha=90.00 beta=90.00 gamma=90.00
With the nearest neighbours (Å) after each atom.
Sites, in units of the cell vectors:
P: 0.0000 0.0000 0.5000  2 Pd 2.35
P: 0.0000 0.5000 0.0000  2 Pd 2.35
P: 0.5000 0.0000 0.0000  2 Pd 2.35
Pd: 0.0000 0.0000 0.0000  6 P 2.35
Pb: 0.5000 0.5000 0.5000  12 P 3.32

Computed properties:
The crystal system is cubic.


Number 1: calculated volume 130.6 Å³/cell, DFT formation energy 39 meV/atom, electronic total energy -247.94 eV per formula unit. Number 2: calculated volume 131.8 Å³/cell, DFT formation energy 36 meV/atom, electronic total energy -96.47 eV per formula unit. Number 3: calculated volume 103.9 Å³/cell, DFT formation energy 715 meV/atom, electronic total energy -136.18 eV per formula unit.